# 1
This record from Alexandria via LeMat-Bulk describes a geometry-optimized Pm3Nd5Er3 structure. The functional is PBE.

Summary:
Total energy in eV per cell: -43.56
Energy relative to the lowest polymorph listed for this composition in eV/f.u.: 4.76
ΔH_f (0 K) in eV/atom: 0.747
Total magnetization in μB/cell: 0.0

abc: 9.7947 9.7947 5.5369
angles: 90.00 90.00 120.00
Space group P-62m (No. 189)
Inequivalent atoms, fractional coordinates:
Pm 0.0000 0.4281 0.0000 x3
Nd 0.0000 0.2678 0.5000 x3
Nd 0.3333 0.6667 0.5000 x2
Er 0.0000 0.6320 0.5000 x3

***

# 2
This record from Alexandria via LeMat-Bulk describes a geometry-optimized PmNd2Er9 structure. The functional is PBE.

Summary:
Total energy in eV per cell: -55.06
Energy relative to the lowest polymorph listed for this composition in eV/f.u.: 0.00
ΔH_f (0 K) in eV/atom: 0.024
Total magnetization in μB/cell: 0.0

abc: 5.016 5.016 15.044
angles: 90.00 90.00 90.00
Space group P4/mmm (No. 123)
Inequivalent atoms, fractional coordinates:
Pm 0.000 0.000 0.000 x1
Nd 0.000 0.000 0.333 x2
Er 0.000 0.500 0.166 x4
Er 0.000 0.500 0.500 x2
Er 0.500 0.500 0.000 x1
Er 0.500 0.500 0.333 x2

***

# 3
This record from Alexandria via LeMat-Bulk describes a geometry-optimized Pm12Nd2Er structure. The functional is PBE.

Summary:
Total energy in eV per cell: -132.82
ΔH_f (0 K) in eV/atom: 0.313
Total magnetization in μB/cell: 0.0

abc: 6.564 6.564 25.405
angles: 90.00 90.00 90.00
Space group P4/nbm (No. 125, origin choice 2)
Inequivalent atoms, fractional coordinates:
Pm 0.064 0.564 0.113 x8
Pm 0.083 0.583 0.562 x8
Pm 0.250 0.250 0.214 x4
Pm 0.250 0.250 0.338 x4
Nd 0.250 0.750 0.267 x4
Er 0.250 0.750 0.000 x2

***

# 4
This record from Alexandria via LeMat-Bulk describes a geometry-optimized Pm7Nd16Er6 structure. The functional is PBE.

Summary:
Total energy in eV per cell: -521.73
ΔH_f (0 K) in eV/atom: 0.224
Total magnetization in μB/cell: 0.0

abc: 16.087 16.087 16.087
angles: 90.00 90.00 90.00
Space group Fm-3m (No. 225)
Inequivalent atoms, fractional coordinates:
Pm 0.000 0.000 0.000 x4
Pm 0.000 0.250 0.250 x24
Nd 0.125 0.125 0.125 x32
Nd 0.150 0.150 0.350 x32
Er 0.000 0.000 0.263 x24

***

# 5
This record from Alexandria via LeMat-Bulk describes a geometry-optimized Pm12Nd2Er5 structure. The functional is PBE.

Summary:
Total energy in eV per cell: -174.46
Energy relative to the lowest polymorph listed for this composition in eV/f.u.: 0.00
ΔH_f (0 K) in eV/atom: 0.112
Total magnetization in μB/cell: 0.0

abc: 13.005 11.683 9.417
angles: 90.00 116.23 90.00
Space group C2/m (No. 12)
Inequivalent atoms, fractional coordinates:
Pm 0.078 0.000 0.283 x4
Pm 0.108 0.220 0.917 x8
Pm 0.117 0.500 0.441 x4
Pm 0.196 0.255 0.302 x8
Nd 0.000 0.225 0.500 x4
Er 0.000 0.500 0.000 x2
Er 0.190 0.000 0.734 x4
Er 0.196 0.500 0.839 x4

***

# 6
This record from Alexandria via LeMat-Bulk describes a geometry-optimized Pm3Nd2Er3 structure. The functional is PBE.

Summary:
Total energy in eV per cell: -74.56
Energy relative to the lowest polymorph listed for this composition in eV/f.u.: 0.04
ΔH_f (0 K) in eV/atom: 0.025
Total magnetization in μB/cell: 0.0

abc: 5.787 14.651 6.319
angles: 90.00 90.00 90.00
Space group Pmmn (No. 59, origin choice 2)
Inequivalent atoms, fractional coordinates:
Pm 0.250 0.124 0.165 x4
Pm 0.250 0.750 0.668 x2
Nd 0.250 0.624 0.170 x4
Er 0.250 0.000 0.665 x4
Er 0.250 0.250 0.662 x2